An optimized crystal structure of Ba3HoBi2O8. Source: Alexandria via LeMat-Bulk, functional PBE.

Calculated values
For the uncorrected formation energy, the calculation gives -2.0783 eV/atom. As for the space-group type: P-3m1. The calculation puts the total energy at -0.228 hartree per atom. The value obtained for the total magnetic moment is 0.98 μB/f.u.

Structure (POSCAR):
```
Ba3HoBi2O8
1.0
6.280 0.000 0.000
-3.140 5.438 0.000
0.000 0.000 8.135
Ba Ho Bi O
3 1 2 8
Direct
0.000 0.000 0.000 Ba
0.333 0.667 0.628 Ba
0.667 0.333 0.372 Ba
0.000 0.000 0.500 Ho
0.333 0.667 0.195 Bi
0.667 0.333 0.805 Bi
0.163 0.325 0.333 O
0.163 0.837 0.333 O
0.325 0.163 0.667 O
0.333 0.667 0.926 O
0.667 0.333 0.074 O
0.675 0.837 0.333 O
0.837 0.163 0.667 O
0.837 0.675 0.667 O
```